# 1
# Zr3Cu

A PBEsol-optimized structure of Zr3Cu (meta-GGA SCAN, the Alexandria database).

POSCAR file:
```
Zr3Cu
1.0
-5.275 0.845 2.047
-2.134 -3.579 -4.022
1.122 -7.303 5.903
Zr Cu
12 4
Direct
0.273 0.883 0.955 Zr
0.030 0.841 0.250 Zr
0.273 0.883 0.545 Zr
0.727 0.117 0.045 Zr
0.470 0.341 0.750 Zr
0.727 0.117 0.455 Zr
0.227 0.383 0.455 Zr
0.970 0.159 0.750 Zr
0.227 0.383 0.045 Zr
0.530 0.659 0.250 Zr
0.773 0.617 0.955 Zr
0.773 0.617 0.545 Zr
0.599 0.880 0.750 Cu
0.901 0.380 0.250 Cu
0.099 0.620 0.750 Cu
0.401 0.120 0.250 Cu
```

Energy of formation   -1.8 kcal/mol of atoms
Space-group type   Pnma
DOS(E_F)   15.9 states/eV/cell

=====

# 2
# SiMoRh

A PBEsol-optimized structure of SiMoRh (meta-GGA SCAN, the Alexandria database).

POSCAR file:
```
SiMoRh
1.0
-2.801 2.698 1.034
-2.823 1.086 -2.654
-3.815 -1.164 0.532
Si Rh Mo
1 1 1
Direct
0.250 0.250 0.250 Si
0.500 0.500 0.500 Rh
0.000 0.000 0.000 Mo
```

Formation energy without anion corrections   -0.26 eV per formula unit
Space-group type   F-43m
DOS(E_F)   1.7 states/eV/cell

=====

# 3
# ScHgIr

A PBEsol-optimized structure of ScHgIr (meta-GGA SCAN, the Alexandria database).

POSCAR file:
```
ScHgIr
1.0
-1.117 2.674 -1.760
-2.944 -0.126 1.677
3.736 1.548 3.246
Hg Sc Ir
1 1 1
Direct
0.999 0.999 0.998 Hg
0.682 0.682 0.364 Sc
0.319 0.319 0.639 Ir
```

Energy of formation   -13.3 kcal/mol of atoms
Space-group type   I4mm
DOS(E_F)   1.0 states/eV/cell

=====

# 4
# Sc2ReRu

A PBEsol-optimized structure of Sc2ReRu (meta-GGA SCAN, the Alexandria database).

POSCAR file:
```
Sc2ReRu
1.0
-2.090 1.105 1.718
-1.217 -2.648 0.222
4.718 -1.600 6.770
Sc Re Ru
2 1 1
Direct
0.000 0.000 0.948 Sc
0.500 0.500 0.298 Sc
0.000 0.000 0.534 Re
0.500 0.500 0.721 Ru
```

Energy of formation   -4.3 kcal/mol of atoms
Space-group type   P4mm
DOS(E_F)   2.6 states/eV/cell

=====

# 5
# La2CoAg

A PBEsol-optimized structure of La2CoAg (meta-GGA SCAN, the Alexandria database).

POSCAR file:
```
La2CoAg
1.0
-2.265 1.010 -2.478
-0.477 -3.402 -0.951
-5.438 0.246 5.072
Ag Co La
1 1 2
Direct
0.500 0.500 0.500 Ag
0.500 0.500 0.000 Co
0.000 0.934 0.217 La
0.000 0.066 0.783 La
```

Energy of formation   -2.3 kcal/mol of atoms
Space-group type   P2/m
DOS(E_F)   3.0 states/eV/cell

=====

# 6
# ZrPb2F8

A PBEsol-optimized structure of ZrPb2F8 (meta-GGA SCAN, the Alexandria database).

POSCAR file:
```
ZrPb2F8
1.0
5.443 0.000 0.000
0.000 9.547 0.000
0.000 0.000 11.529
Pb F Zr
8 32 4
Direct
0.750 0.648 0.440 Pb
0.750 0.033 0.665 Pb
0.250 0.467 0.165 Pb
0.750 0.148 0.060 Pb
0.250 0.852 0.940 Pb
0.250 0.352 0.560 Pb
0.250 0.967 0.335 Pb
0.750 0.533 0.835 Pb
0.004 0.359 0.964 F
0.508 0.147 0.251 F
0.250 0.649 0.472 F
0.504 0.141 0.464 F
0.008 0.353 0.751 F
0.750 0.356 0.186 F
0.492 0.353 0.751 F
0.481 0.908 0.140 F
0.019 0.908 0.140 F
0.519 0.092 0.860 F
0.508 0.647 0.249 F
0.492 0.853 0.749 F
0.750 0.351 0.528 F
0.996 0.641 0.036 F
0.481 0.408 0.360 F
0.019 0.408 0.360 F
0.750 0.856 0.314 F
0.992 0.647 0.249 F
0.250 0.149 0.028 F
0.750 0.851 0.972 F
0.008 0.853 0.749 F
0.981 0.592 0.640 F
0.504 0.641 0.036 F
0.981 0.092 0.860 F
0.250 0.144 0.686 F
0.004 0.859 0.536 F
0.496 0.359 0.964 F
0.250 0.644 0.814 F
0.496 0.859 0.536 F
0.519 0.592 0.640 F
0.996 0.141 0.464 F
0.992 0.147 0.251 F
0.750 0.758 0.140 Zr
0.250 0.242 0.860 Zr
0.750 0.258 0.360 Zr
0.250 0.742 0.640 Zr
```

Formation energy without anion corrections   -34.93 eV per formula unit
Space-group type   Pnma
DOS(E_F)   0.0 states/eV/cell

=====

# 7
# Fe2Rh

A PBEsol-optimized structure of Fe2Rh (meta-GGA SCAN, the Alexandria database).

POSCAR file:
```
Fe2Rh
1.0
-1.200 1.416 2.049
-1.000 -2.357 1.043
7.694 -0.973 5.179
Fe Rh
4 2
Direct
0.500 0.000 0.728 Fe
0.000 0.500 0.575 Fe
0.000 0.500 0.272 Fe
0.500 0.000 0.425 Fe
0.500 0.000 0.102 Rh
0.000 0.500 0.898 Rh
```

Energy of formation   -1.8 kcal/mol of atoms
Space-group type   P4/nmm
DOS(E_F)   6.0 states/eV/cell

=====

# 8
# RbH3Se

A PBEsol-optimized structure of RbH3Se (meta-GGA SCAN, the Alexandria database).

POSCAR file:
```
RbH3Se
1.0
-3.294 -1.438 1.896
2.089 -0.198 3.479
-1.139 3.795 0.900
Rb H Se
1 3 1
Direct
0.500 0.500 0.500 Rb
0.000 0.500 0.000 H
0.500 0.000 0.000 H
0.000 0.000 0.500 H
0.000 0.000 0.000 Se
```

Space-group type   Pm-3m
Relative energy among the computed polymorphs   0.0 meV per atom
DOS(E_F)   2.0 states/eV/cell